No. 1
Entry from Alexandria via LeMat-Bulk: ScIn2PbCl after structural relaxation (GGA-PBEsol).

Unit cell a=4.7318 b=5.4311 c=5.4311 alpha=90.00 beta=90.00 gamma=90.00
Closest atoms and distances in Å follow each position.
Fractional positions:
1 Pb 0.5000 0.5000 0.5000  8 In 3.60, 4 Sc 3.84
2 Sc 0.5000 0.0000 0.0000  2 Cl 2.37
3 Cl 0.0000 0.0000 0.0000  2 Sc 2.37
4 In 0.0000 0.0000 0.5000  2 Cl 2.72
5 In 0.0000 0.5000 0.0000  2 Cl 2.72

Summary:
**E**: -3.740 eV per atom
**E_form (uncorrected)**: -0.025 eV per atom


No. 2
Entry from Alexandria via LeMat-Bulk: Ca2Cd2In after structural relaxation (GGA-PBEsol).

Unit cell a=4.2030 b=7.9413 c=7.9413 alpha=90.00 beta=90.00 gamma=90.00
Closest atoms and distances in Å follow each position.
Fractional positions:
1 Ca 0.5000 0.1729 0.6729  6 Cd 3.08-3.20
2 Ca 0.5000 0.6729 0.8271  6 Cd 3.08-3.20
3 Ca 0.5000 0.8271 0.3271  6 Cd 3.08-3.20
4 Ca 0.5000 0.3271 0.1729  6 Cd 3.08-3.20
5 Cd 0.0000 0.3729 0.8729  1 Cd 2.86, 6 Ca 3.08-3.20, 2 In 3.13
6 Cd 0.0000 0.8729 0.6271  1 Cd 2.86, 6 Ca 3.08-3.20, 2 In 3.13
7 Cd 0.0000 0.6271 0.1271  1 Cd 2.86, 6 Ca 3.08-3.20, 2 In 3.13
8 Cd 0.0000 0.1271 0.3729  1 Cd 2.86, 6 Ca 3.08-3.20, 2 In 3.13
9 In 0.0000 0.0000 0.0000  4 Cd 3.13
10 In 0.0000 0.5000 0.5000  4 Cd 3.13

Summary:
**E**: -2.265 eV per atom
**ΔE_f**: -0.34 eV/atom


No. 3
Entry from Alexandria via LeMat-Bulk: Cd2Cu after structural relaxation (GGA-PBEsol).

Unit cell a=2.9687 b=5.0530 c=7.4601 alpha=95.23 beta=90.00 gamma=107.08
Closest atoms and distances in Å follow each position.
Fractional positions:
1 Cd 0.0255 0.0510 0.0152  4 Cu 2.62-2.79
2 Cd 0.3178 0.6356 0.2024  2 Cu 2.76, 8 Cd 2.95-3.04
3 Cd 0.6107 0.2214 0.3933  2 Cu 2.65, 4 Cd 2.96-2.97
4 Cd 0.3690 0.7380 0.6398  5 Cu 2.65-2.79
5 Cu 0.1008 0.2016 0.6867  2 Cu 2.47, 6 Cd 2.62-2.68
6 Cu 0.7429 0.4858 0.8959  2 Cu 2.47, 2 Cd 2.76

Summary:
**E**: -2.183 eV per atom
**ΔE_f**: 0.06 eV/atom


No. 4
Entry from Alexandria via LeMat-Bulk: MoPt2 after structural relaxation (GGA-PBEsol).

Unit cell a=2.7378 b=3.9367 c=4.7703 alpha=114.37 beta=106.68 gamma=90.00
Closest atoms and distances in Å follow each position.
Fractional positions:
1 Mo 0.0000 0.0000 0.0000  2 Mo 2.74, 10 Pt 2.75-2.78
2 Pt 0.3366 0.3366 0.6732  7 Pt 2.70-2.79, 5 Mo 2.75-2.78
3 Pt 0.6634 0.6634 0.3268  7 Pt 2.70-2.79, 5 Mo 2.75-2.78

Summary:
**Energy above the lowest structure with this stoichiometry**: 0.00 eV/f.u.
**E**: -8.965 eV per atom
**ΔE_f**: -0.40 eV/atom


No. 5
Entry from Alexandria via LeMat-Bulk: Li7Mn2Co3O12 after structural relaxation (GGA-PBEsol).

Unit cell a=4.8853 b=4.8854 c=9.4186 alpha=85.03 beta=80.03 gamma=60.00
Closest atoms and distances in Å follow each position.
Fractional positions:
1 Li 0.5846 0.3276 0.2467  6 O 2.01-2.11
2 Li 0.7430 0.0000 0.7534  6 O 2.01-2.11
3 Li 0.9122 0.6724 0.2467  6 O 2.01-2.11
4 Li 0.2570 0.0000 0.2466  6 O 2.01-2.11
5 Li 0.4154 0.6724 0.7533  6 O 2.01-2.11
6 Li 0.0878 0.3276 0.7533  6 O 2.01-2.11
7 Li 0.5000 0.0000 0.5000  6 O 2.04
8 Mn 0.8333 0.3334 0.5000  6 O 1.90
9 Mn 0.1667 0.6666 0.5000  6 O 1.90
10 Co 0.0000 0.0000 0.0000  6 O 1.91
11 Co 0.3331 0.3338 0.0000  6 O 1.90-1.91
12 Co 0.6669 0.6662 0.0000  6 O 1.90-1.91
13 O 0.5381 0.6437 0.3858  2 Mn 1.90, 4 Li 2.01-2.11
14 O 0.7022 0.3336 0.8933  3 Co 1.90-1.91, 3 Li 2.09-2.10
15 O 0.8945 0.0000 0.3857  2 Mn 1.90, 4 Li 2.01-2.11
16 O 0.1818 0.3563 0.3858  2 Mn 1.90, 4 Li 2.01-2.11
17 O 0.3692 0.0000 0.8920  3 Co 1.91, 3 Li 2.05
18 O 0.0358 0.6664 0.8933  3 Co 1.90-1.91, 3 Li 2.09-2.10
19 O 0.6308 0.0000 0.1080  3 Co 1.91, 3 Li 2.05
20 O 0.8182 0.6437 0.6142  2 Mn 1.90, 4 Li 2.01-2.11
21 O 0.9642 0.3336 0.1067  3 Co 1.90-1.91, 3 Li 2.09-2.10
22 O 0.2978 0.6664 0.1067  3 Co 1.90-1.91, 3 Li 2.09-2.10
23 O 0.4619 0.3563 0.6142  2 Mn 1.90, 4 Li 2.01-2.11
24 O 0.1055 0.0000 0.6143  2 Mn 1.90, 4 Li 2.01-2.11

Summary:
**Energy above the lowest structure with this stoichiometry**: 0.00 eV/f.u.
**E**: -6.740 eV per atom
**E_form (uncorrected)**: -1.761 eV per atom


No. 6
Entry from Alexandria via LeMat-Bulk: TeAsBr2Cl after structural relaxation (GGA-PBEsol).

Unit cell a=5.3630 b=5.3630 c=5.5920 alpha=90.00 beta=90.00 gamma=90.00
Closest atoms and distances in Å follow each position.
Fractional positions:
1 As 0.0000 0.0000 0.5000  2 Te 2.80
2 Te 0.0000 0.0000 0.0000  4 Br 2.68, 2 As 2.80
3 Br 0.0000 0.5000 0.0000  2 Te 2.68
4 Br 0.5000 0.0000 0.0000  2 Te 2.68
5 Cl 0.5000 0.5000 0.5000  4 As 3.79, 8 Br 3.87

Summary:
**E**: -2.501 eV per atom
**E_form (uncorrected)**: 0.375 eV per atom


No. 7
Entry from Alexandria via LeMat-Bulk: Cs2Sn2Bi after structural relaxation (GGA-PBEsol).

Unit cell a=4.9866 b=4.9866 c=8.7094 alpha=106.64 beta=106.64 gamma=90.00
Closest atoms and distances in Å follow each position.
Fractional positions:
1 Cs 0.2500 0.7500 0.5000  4 Cs 3.53, 4 Sn 3.66
2 Cs 0.7500 0.2500 0.5000  4 Cs 3.53, 4 Sn 3.66
3 Bi 0.0000 0.0000 0.0000  8 Sn 3.76
4 Sn 0.4180 0.4180 0.8359  1 Sn 2.61
5 Sn 0.5820 0.5820 0.1641  1 Sn 2.61

Summary:
**E**: -2.782 eV per atom
**ΔE_f**: 0.16 eV/atom


No. 8
Entry from Alexandria via LeMat-Bulk: SiBi2PtBr after structural relaxation (GGA-PBEsol).

Unit cell a=4.4633 b=5.4730 c=5.4730 alpha=90.00 beta=90.00 gamma=90.00
Closest atoms and distances in Å follow each position.
Fractional positions:
1 Si 0.0000 0.0000 0.0000  2 Pt 2.23
2 Br 0.5000 0.5000 0.5000  8 Bi 3.53, 4 Pt 3.87
3 Bi 0.0000 0.0000 0.5000  2 Si 2.74
4 Bi 0.0000 0.5000 0.0000  2 Si 2.74
5 Pt 0.5000 0.0000 0.0000  2 Si 2.23

Summary:
**E**: -4.311 eV per atom
**E_form (uncorrected)**: 0.319 eV per atom


No. 9
Entry from Alexandria via LeMat-Bulk: YTaP2W after structural relaxation (GGA-PBEsol).

Unit cell a=4.5702 b=4.5702 c=5.3215 alpha=90.00 beta=90.00 gamma=90.00
Closest atoms and distances in Å follow each position.
Fractional positions:
1 Y 0.0000 0.0000 0.5000  2 W 2.66
2 P 0.0000 0.5000 0.0000  2 W 2.29
3 P 0.5000 0.0000 0.0000  2 W 2.29
4 W 0.0000 0.0000 0.0000  4 P 2.29
5 Ta 0.5000 0.5000 0.5000  4 Y 3.23, 8 P 3.51

Summary:
**E**: -7.866 eV per atom
**ΔE_f**: 1.09 eV/atom


No. 10
Entry from Alexandria via LeMat-Bulk: BeCd3Re after structural relaxation (GGA-PBEsol).

Unit cell a=4.4603 b=4.4603 c=4.4603 alpha=90.00 beta=90.00 gamma=90.00
Closest atoms and distances in Å follow each position.
Fractional positions:
1 Re 0.5000 0.5000 0.5000  12 Cd 3.15
2 Be 0.0000 0.0000 0.0000  6 Cd 2.23
3 Cd 0.0000 0.5000 0.0000  2 Be 2.23
4 Cd 0.0000 0.0000 0.5000  2 Be 2.23
5 Cd 0.5000 0.0000 0.0000  2 Be 2.23

Summary:
**E**: -2.969 eV per atom
**ΔE_f**: 1.22 eV/atom


No. 11
Entry from Alexandria via LeMat-Bulk: FeRh2W after structural relaxation (GGA-PBEsol).

Unit cell a=3.7869 b=3.7869 c=4.5886 alpha=114.37 beta=114.37 gamma=90.00
Closest atoms and distances in Å follow each position.
Fractional positions:
1 Rh 0.7500 0.2500 0.5000  4 W 2.66, 4 Fe 2.66, 4 Rh 2.68
2 Rh 0.2500 0.7500 0.5000  4 W 2.66, 4 Fe 2.66, 4 Rh 2.68
3 Fe 0.5000 0.5000 0.0000  8 Rh 2.66, 4 W 2.68
4 W 0.0000 0.0000 0.0000  8 Rh 2.66, 4 Fe 2.68

Summary:
**Energy above the lowest structure with this stoichiometry**: 0.00 eV/f.u.
**E**: -9.919 eV per atom
**ΔE_f**: -0.16 eV/atom


No. 12
Entry from Alexandria via LeMat-Bulk: CdFeBr2 after structural relaxation (GGA-PBEsol).

Unit cell a=3.3898 b=3.4423 c=9.0209 alpha=98.43 beta=90.00 gamma=90.00
Closest atoms and distances in Å follow each position.
Fractional positions:
1 Br 0.0000 0.6001 0.8128  2 Fe 2.45
2 Br 0.0000 0.3999 0.1872  2 Fe 2.45
3 Cd 0.5000 0.0000 0.5000  4 Cd 3.39-3.44, 8 Br 3.66-3.72
4 Fe 0.5000 0.5000 0.0000  4 Br 2.45

Summary:
**Energy above the lowest structure with this stoichiometry**: 0.00 eV/f.u.
**E**: -3.438 eV per atom
**E_form (uncorrected)**: 0.037 eV per atom